[1]
This record from Alexandria via LeMat-Bulk describes a geometry-optimized HoMg3Hg3 structure. The functional is PBE-GGA.

Unit cell a=7.4707 b=7.4707 c=7.4707 alpha=90.00 beta=90.00 gamma=90.00
Atoms (fractional coordinates):
Ho1 0.0000 0.0000 0.0000
Ho2 0.5000 0.5000 0.5000
Mg1 0.0000 0.2500 0.5000
Mg2 0.0000 0.7500 0.5000
Mg3 0.2500 0.5000 0.0000
Mg4 0.5000 0.0000 0.2500
Mg5 0.5000 0.0000 0.7500
Mg6 0.7500 0.5000 0.0000
Hg1 0.0000 0.5000 0.2500
Hg2 0.0000 0.5000 0.7500
Hg3 0.2500 0.0000 0.5000
Hg4 0.5000 0.2500 0.0000
Hg5 0.5000 0.7500 0.0000
Hg6 0.7500 0.0000 0.5000

Space-group type   No. 223
Energy   -16.7 eV per cell
Total magnetic moment   0.000 μB/atom

=====

[2]
This record from Alexandria via LeMat-Bulk describes a geometry-optimized Ho4MgHg3 structure. The functional is PBE-GGA.

Unit cell a=3.7400 b=3.7400 c=14.7043 alpha=90.00 beta=90.00 gamma=90.00
Atoms (fractional coordinates):
Ho1 0.0000 0.0000 0.1242
Ho2 0.0000 0.0000 0.3719
Ho3 0.0000 0.0000 0.6281
Ho4 0.0000 0.0000 0.8758
Mg1 0.5000 0.5000 0.5000
Hg1 0.5000 0.5000 0.0000
Hg2 0.5000 0.5000 0.2530
Hg3 0.5000 0.5000 0.7470

Space-group type   No. 123
Energy   -23.8 eV per cell
Total magnetic moment   0.000 μB/atom

=====

[3]
This record from Alexandria via LeMat-Bulk describes a geometry-optimized Ho2Mg3Hg structure. The functional is PBE-GGA.

Unit cell a=3.3978 b=5.0699 c=8.7539 alpha=90.00 beta=90.00 gamma=90.00
Atoms (fractional coordinates):
Ho1 0.0000 0.0000 0.0000
Ho2 0.0000 0.5000 0.4796
Mg1 0.5000 0.0000 0.6562
Mg2 0.5000 0.5000 0.1560
Mg3 0.5000 0.5000 0.8206
Hg1 0.5000 0.0000 0.3252

Space-group type   No. 25
Energy   -15.3 eV per cell
Total magnetic moment   0.000 μB/atom

=====

[4]
This record from Alexandria via LeMat-Bulk describes a geometry-optimized Ho2Mg3Hg4 structure. The functional is PBE-GGA.

Unit cell a=8.9683 b=8.9683 c=8.0247 alpha=90.00 beta=90.00 gamma=138.98
Atoms (fractional coordinates):
Ho1 0.1004 0.8996 0.9080
Ho2 0.3996 0.6004 0.4080
Ho3 0.6004 0.3996 0.5920
Ho4 0.8996 0.1004 0.0920
Mg1 0.0000 0.0000 0.5000
Mg2 0.0203 0.4797 0.7500
Mg3 0.4797 0.0203 0.2500
Mg4 0.5000 0.5000 0.0000
Mg5 0.5203 0.9797 0.7500
Mg6 0.9797 0.5203 0.2500
Hg1 0.1699 0.8301 0.5394
Hg2 0.1915 0.3085 0.7500
Hg3 0.3085 0.1915 0.2500
Hg4 0.3301 0.6699 0.0394
Hg5 0.6699 0.3301 0.9606
Hg6 0.6915 0.8085 0.7500
Hg7 0.8085 0.6915 0.2500
Hg8 0.8301 0.1699 0.4606

Energy relative to the lowest polymorph listed for this composition   0.49 eV per formula unit
Space-group type   No. 64
Total magnetic moment   0.000 μB/atom

=====

[5]
This record from Alexandria via LeMat-Bulk describes a geometry-optimized Ho6MgHg5 structure. The functional is PBE-GGA.

Unit cell a=9.1073 b=9.1073 c=9.1073 alpha=146.73 beta=131.70 gamma=59.91
Atoms (fractional coordinates):
Ho1 0.0787 0.3303 0.7484
Ho2 0.2409 0.0000 0.2409
Ho3 0.4180 0.6697 0.7484
Ho4 0.5820 0.3303 0.2516
Ho5 0.7591 0.0000 0.7591
Ho6 0.9213 0.6697 0.2516
Mg1 0.5000 0.5000 0.0000
Hg1 0.0000 0.5000 0.5000
Hg2 0.1664 0.1664 0.0000
Hg3 0.3472 0.8472 0.5000
Hg4 0.6528 0.1528 0.5000
Hg5 0.8336 0.8336 0.0000

Space-group type   No. 71
Energy   -35.6 eV per cell
Total magnetic moment   0.000 μB/atom

=====

[6]
This record from Alexandria via LeMat-Bulk describes a geometry-optimized Ho2MgHg structure. The functional is PBE-GGA.

Unit cell a=10.3913 b=10.3913 c=10.3913 alpha=19.78 beta=19.78 gamma=19.78
Atoms (fractional coordinates):
Ho1 0.0000 0.0000 0.0000
Ho2 0.1773 0.1773 0.1773
Mg1 0.7549 0.7549 0.7549
Hg1 0.5884 0.5884 0.5884

Energy relative to the lowest polymorph listed for this composition   0.70 eV per formula unit
Space-group type   No. 160
Total magnetic moment   0.000 μB/atom

=====

[7]
This record from Alexandria via LeMat-Bulk describes a geometry-optimized Ho2Mg3Hg2 structure. The functional is PBE-GGA.

Unit cell a=5.8878 b=5.8878 c=7.2569 alpha=98.00 beta=98.00 gamma=44.84
Atoms (fractional coordinates):
Ho1 0.1204 0.1204 0.3540
Ho2 0.8796 0.8796 0.6460
Mg1 0.1900 0.1900 0.8730
Mg2 0.5000 0.5000 0.0000
Mg3 0.8100 0.8100 0.1270
Hg1 0.3964 0.3964 0.3433
Hg2 0.6036 0.6036 0.6567

Space-group type   No. 12
Energy   -16.2 eV per cell
Total magnetic moment   0.000 μB/atom

=====

[8]
This record from Alexandria via LeMat-Bulk describes a geometry-optimized Ho3MgHg3 structure. The functional is PBE-GGA.

Unit cell a=8.9278 b=8.9278 c=5.3799 alpha=90.00 beta=90.00 gamma=120.00
Atoms (fractional coordinates):
Ho1 0.0983 0.6516 0.2500
Ho2 0.3484 0.4467 0.2500
Ho3 0.4467 0.0983 0.7500
Ho4 0.5533 0.9017 0.2500
Ho5 0.6516 0.5533 0.7500
Ho6 0.9017 0.3484 0.7500
Mg1 0.3333 0.6667 0.7500
Mg2 0.6667 0.3333 0.2500
Hg1 0.0490 0.7839 0.7500
Hg2 0.2161 0.2650 0.7500
Hg3 0.2650 0.0490 0.2500
Hg4 0.7350 0.9510 0.7500
Hg5 0.7839 0.7350 0.2500
Hg6 0.9510 0.2161 0.2500

Space-group type   No. 176
Energy   -35.5 eV per cell
Total magnetic moment   0.000 μB/atom